No. 1
! CdNiRu2 PBE relaxed; values from VASP
! - total energy (eV/atom) = -5.94
! - energy of formation from the pure elements (eV/atom) = 0.38
! - ρ (g cm⁻³) = 10.58
&SYSTEM
  ibrav = 0, nat = 4, ntyp = 3
/
ATOMIC_SPECIES
Ni 58.69 Ni.upf
Ru 101.07 Ru.upf
Cd 112.41 Cd.upf
ATOMIC_POSITIONS crystal
Ni 0.0000 0.0000 0.5000
Ru 0.5000 0.5000 0.0000
Cd 0.5000 0.5000 0.5000
Ru 0.0000 0.0000 0.0000
CELL_PARAMETERS angstrom
2.7258 0.0000 0.0000
0.0000 4.7116 -0.0091
0.0000 3.1274 4.5534

***

No. 2
! RbNa2Sn PBE relaxed; values from VASP
! - total energy (eV/atom) = -1.92
! - energy of formation from the pure elements (eV/atom) = -0.01
! - ρ (g cm⁻³) = 2.65
&SYSTEM
  ibrav = 0, nat = 4, ntyp = 3
/
ATOMIC_SPECIES
Na 22.99 Na.upf
Rb 85.47 Rb.upf
Sn 118.71 Sn.upf
ATOMIC_POSITIONS crystal
Na 0.0000 0.0000 0.1722
Rb 0.5000 0.5000 0.5000
Na 0.0000 0.0000 0.8278
Sn 0.5000 0.5000 0.0000
CELL_PARAMETERS angstrom
-4.1101 -0.7622 -0.1209
0.7572 -3.8562 -1.4302
0.3192 -3.0548 8.4052

***

No. 3
! Rb2AcS10 PBE relaxed; values from VASP
! - total energy (eV/atom) = -4.17
! - energy relative to the elements, uncorrected (meV/atom) = -531
! - ρ (g cm⁻³) = 2.74
&SYSTEM
  ibrav = 0, nat = 26, ntyp = 3
/
ATOMIC_SPECIES
S 32.06 S.upf
Ac 227.00 Ac.upf
Rb 85.47 Rb.upf
ATOMIC_POSITIONS crystal
S 0.0000 0.7506 0.2131
S 0.3216 0.5034 0.5919
S 0.0000 0.2506 0.2869
S 0.0000 0.2264 0.2130
S 0.3216 0.9966 0.0919
S 0.0000 0.4998 0.0395
Ac 0.0000 0.5000 0.5000
Rb 0.5000 0.4959 0.1473
S 0.6784 0.0034 0.9081
S 0.6784 0.4966 0.4081
S 0.0000 0.7494 0.7131
Ac 0.0000 0.0000 0.0000
S 0.0000 0.7736 0.7870
S 0.0000 0.2736 0.7130
Rb 0.5000 0.5041 0.8527
S 0.0000 0.5002 0.9605
S 0.3216 0.4966 0.4081
Rb 0.5000 0.9959 0.3527
S 0.0000 0.7264 0.2870
S 0.0000 0.0002 0.5395
S 0.0000 0.2494 0.7869
S 0.6784 0.5034 0.5919
S 0.0000 0.9998 0.4605
S 0.3216 0.0034 0.9081
S 0.6784 0.9966 0.0919
Rb 0.5000 0.0041 0.6473
CELL_PARAMETERS angstrom
-2.9846 -0.1537 -4.8574
2.9765 -4.7907 -1.6774
-17.8050 -15.0598 11.4167

***

No. 4
! CsBiAs PBE relaxed; values from VASP
! - total energy (eV/atom) = -3.42
! - energy of formation from the pure elements (eV/atom) = -0.29
! - offset from the most stable computed form (kJ per mole of atoms) = 0.0
! - ρ (g cm⁻³) = 5.79
&SYSTEM
  ibrav = 0, nat = 12, ntyp = 3
/
ATOMIC_SPECIES
Cs 132.91 Cs.upf
As 74.92 As.upf
Bi 208.98 Bi.upf
ATOMIC_POSITIONS crystal
Cs 0.4994 0.3563 0.7503
As 0.7502 0.7180 0.7502
As 0.2498 0.2820 0.2498
As 0.2502 0.7180 0.7498
As 0.7498 0.2820 0.2502
Bi 0.0007 0.9257 0.7501
Bi 0.5007 0.9257 0.7499
Bi 0.4993 0.0743 0.2501
Cs 0.5006 0.6437 0.2497
Cs 0.9994 0.3563 0.7497
Bi 0.9993 0.0743 0.2499
Cs 0.0006 0.6437 0.2503
CELL_PARAMETERS angstrom
-6.5903 -2.9743 -3.7089
3.8821 -8.1349 -0.3292
-2.5961 -1.4734 5.7946

***

No. 5
! ZrCrAu4 PBE relaxed; values from VASP
! - total energy (eV/atom) = -5.19
! - energy of formation from the pure elements (eV/atom) = 0.03
! - ρ (g cm⁻³) = 13.40
&SYSTEM
  ibrav = 0, nat = 6, ntyp = 3
/
ATOMIC_SPECIES
Au 196.97 Au.upf
Cr 52.00 Cr.upf
Zr 91.22 Zr.upf
ATOMIC_POSITIONS crystal
Au 0.3752 0.3752 0.8744
Au 0.3752 0.3752 0.3752
Cr 0.7500 0.7500 0.7500
Au 0.3752 0.8744 0.3752
Zr 0.0000 0.0000 0.0000
Au 0.8744 0.3752 0.3752
CELL_PARAMETERS angstrom
2.7037 0.3896 4.7334
-1.3181 -3.2685 4.1769
3.4117 -3.9842 1.5342

***

No. 6
! SrCaAc PBE relaxed; values from VASP
! - total energy (eV/atom) = -2.55
! - energy of formation from the pure elements (eV/atom) = 0.05
! - offset from the most stable computed form (kJ per mole of atoms) = 1.7
! - ρ (g cm⁻³) = 4.24
&SYSTEM
  ibrav = 0, nat = 3, ntyp = 3
/
ATOMIC_SPECIES
Ac 227.00 Ac.upf
Ca 40.08 Ca.upf
Sr 87.62 Sr.upf
ATOMIC_POSITIONS crystal
Ac 0.0000 0.0000 0.0071
Ca 0.6667 0.3333 0.3282
Sr 0.3333 0.6667 0.6647
CELL_PARAMETERS angstrom
-4.0030 -0.3013 0.0892
2.2686 -3.3009 0.2832
0.1489 0.9517 9.9005

***

No. 7
! CdP2W PBE relaxed; values from VASP
! - total energy (eV/atom) = -5.84
! - energy of formation from the pure elements (eV/atom) = 0.33
! - offset from the most stable computed form (kJ per mole of atoms) = 34.4
! - ρ (g cm⁻³) = 7.10
&SYSTEM
  ibrav = 0, nat = 4, ntyp = 3
/
ATOMIC_SPECIES
P 30.97 P.upf
W 183.84 W.upf
Cd 112.41 Cd.upf
ATOMIC_POSITIONS crystal
P 0.1698 0.1698 0.0000
W 0.0000 0.5000 0.5000
P 0.8302 0.8302 0.0000
Cd 0.5000 0.0000 0.5000
CELL_PARAMETERS angstrom
-1.4852 2.5263 5.5838
1.4852 -2.5263 5.5838
1.4852 2.5263 -5.5838

***

No. 8
! Ti2Zn2Sn PBE relaxed; values from VASP
! - total energy (eV/atom) = -4.28
! - energy of formation from the pure elements (eV/atom) = 0.18
! - ρ (g cm⁻³) = 6.06
&SYSTEM
  ibrav = 0, nat = 5, ntyp = 3
/
ATOMIC_SPECIES
Zn 65.41 Zn.upf
Ti 47.87 Ti.upf
Sn 118.71 Sn.upf
ATOMIC_POSITIONS crystal
Zn 0.3955 0.3955 0.2089
Ti 0.2500 0.7500 0.5000
Zn 0.6045 0.6045 0.7911
Ti 0.7500 0.2500 0.5000
Sn 0.0000 0.0000 0.0000
CELL_PARAMETERS angstrom
4.1095 0.0000 0.0000
0.0000 4.1095 0.0000
2.0547 2.0547 5.6035

***

What did the first record say?
! CdNiRu2 PBE relaxed; values from VASP
! - total energy (eV/atom) = -5.94
! - energy of formation from the pure elements (eV/atom) = 0.38
! - ρ (g cm⁻³) = 10.58
&SYSTEM
  ibrav = 0, nat = 4, ntyp = 3
/
ATOMIC_SPECIES
Ni 58.69 Ni.upf
Ru 101.07 Ru.upf
Cd 112.41 Cd.upf
ATOMIC_POSITIONS crystal
Ni 0.0000 0.0000 0.5000
Ru 0.5000 0.5000 0.0000
Cd 0.5000 0.5000 0.5000
Ru 0.0000 0.0000 0.0000
CELL_PARAMETERS angstrom
2.7258 0.0000 0.0000
0.0000 4.7116 -0.0091
0.0000 3.1274 4.5534

***

Which value of ρ does entry 6 give? 4.24 g cm⁻³

***

Copy entry 1 word for word.
! CdNiRu2 PBE relaxed; values from VASP
! - total energy (eV/atom) = -5.94
! - energy of formation from the pure elements (eV/atom) = 0.38
! - ρ (g cm⁻³) = 10.58
&SYSTEM
  ibrav = 0, nat = 4, ntyp = 3
/
ATOMIC_SPECIES
Ni 58.69 Ni.upf
Ru 101.07 Ru.upf
Cd 112.41 Cd.upf
ATOMIC_POSITIONS crystal
Ni 0.0000 0.0000 0.5000
Ru 0.5000 0.5000 0.0000
Cd 0.5000 0.5000 0.5000
Ru 0.0000 0.0000 0.0000
CELL_PARAMETERS angstrom
2.7258 0.0000 0.0000
0.0000 4.7116 -0.0091
0.0000 3.1274 4.5534